Entry 1:
Below is Ni2BTe2 after structural relaxation, with properties calculated at the PBE level.

Cell: 5.282 5.282 4.911 Å, 57.47 57.47 90.00°
Element x y z (fractional)
1 Ni 0.287 0.287 0.427
2 B 0.000 0.000 0.000
3 Ni 0.713 0.713 0.573
4 Te 0.750 0.250 0.500
5 Te 0.250 0.750 0.500

## Properties
* SG: I4/mmm

=====

Entry 2:
Below is Ni2BTe after structural relaxation, with properties calculated at the PBE level.

Cell: 4.202 4.202 4.202 Å, 60.00 60.00 60.00°
Element x y z (fractional)
1 B 0.000 0.000 0.000
2 Ni 0.750 0.750 0.750
3 Ni 0.250 0.250 0.250
4 Te 0.500 0.500 0.500

## Properties
* SG: Fm-3m

=====

How do the records compare in uncorrected energy? In the order shown, they have -4.55; -4.64 eV/atom.
How do the records compare in formation energy from raw total energies? In the order shown, they have 0.357; 0.709 eV per atom.
How do the records compare in magnetic moment? In the order shown, they have 0.00; 0.00 μB per formula unit.